(1)
# AlReHgN2 (SCAN, PBEsol geometry)
# Magnetic moment: 0.00 μB/f.u.
# E_form (uncorrected): 10.03 kcal/mol of atoms
# ρ: 9303 kg/m3
# Electronic total energy: -32.685 eV per atom
data_AlReHgN2
_chemical_formula_sum 'Al1 Re1 Hg1 N2'
_symmetry_space_group_name_H-M 'P 4/m m m'
_symmetry_Int_Tables_number 123
_symmetry_space_group_name_Hall '-P 4 2'
_cell_length_a 3.841
_cell_length_b 3.841
_cell_length_c 5.344
_cell_angle_alpha 90.00
_cell_angle_beta 90.00
_cell_angle_gamma 90.00
loop_
_atom_site_label
_atom_site_fract_x
_atom_site_fract_y
_atom_site_fract_z
Al1 0.000 0.000 0.000
Re1 0.000 0.000 0.500
Hg1 0.500 0.500 0.000
N1 0.000 0.500 0.500



(2)
# AlHgTeN2 (SCAN, PBEsol geometry)
# Magnetic moment: 3.19 μB/f.u.
# E_form (uncorrected): 14.88 kcal/mol of atoms
# ρ: 7210 kg/m3
# Electronic total energy: -25.705 eV per atom
data_AlHgTeN2
_chemical_formula_sum 'Al1 Hg1 Te1 N2'
_symmetry_space_group_name_H-M 'P 4/m m m'
_symmetry_Int_Tables_number 123
_symmetry_space_group_name_Hall '-P 4 2'
_cell_length_a 3.866
_cell_length_b 3.866
_cell_length_c 5.906
_cell_angle_alpha 90.00
_cell_angle_beta 90.00
_cell_angle_gamma 90.00
loop_
_atom_site_label
_atom_site_fract_x
_atom_site_fract_y
_atom_site_fract_z
Al1 0.000 0.000 0.000
Hg1 0.500 0.500 0.500
Te1 0.000 0.000 0.500
N1 0.000 0.500 0.000



(3)
# Na2AlHg2 (SCAN, PBEsol geometry)
# Magnetic moment: 0.00 μB/f.u.
# ΔE_f: 59.9 kJ/mol of formula units
# ρ: 5894 kg/m3
# Electronic total energy: -30.379 eV per atom
data_Na2AlHg2
_chemical_formula_sum 'Na4 Al2 Hg4'
_symmetry_space_group_name_H-M 'I 4/m m m'
_symmetry_Int_Tables_number 139
_symmetry_space_group_name_Hall '-I 4 2'
_cell_length_a 4.044
_cell_length_b 4.044
_cell_length_c 16.338
_cell_angle_alpha 90.00
_cell_angle_beta 90.00
_cell_angle_gamma 90.00
loop_
_atom_site_label
_atom_site_fract_x
_atom_site_fract_y
_atom_site_fract_z
Na1 0.000 0.000 0.099
Al1 0.000 0.000 0.500
Hg1 0.000 0.500 0.250



- Which formula does entry 1 have?
  AlReHgN2



Copy entry 2 word for word.
# AlHgTeN2 (SCAN, PBEsol geometry)
# Magnetic moment: 3.19 μB/f.u.
# E_form (uncorrected): 14.88 kcal/mol of atoms
# ρ: 7210 kg/m3
# Electronic total energy: -25.705 eV per atom
data_AlHgTeN2
_chemical_formula_sum 'Al1 Hg1 Te1 N2'
_symmetry_space_group_name_H-M 'P 4/m m m'
_symmetry_Int_Tables_number 123
_symmetry_space_group_name_Hall '-P 4 2'
_cell_length_a 3.866
_cell_length_b 3.866
_cell_length_c 5.906
_cell_angle_alpha 90.00
_cell_angle_beta 90.00
_cell_angle_gamma 90.00
loop_
_atom_site_label
_atom_site_fract_x
_atom_site_fract_y
_atom_site_fract_z
Al1 0.000 0.000 0.000
Hg1 0.500 0.500 0.500
Te1 0.000 0.000 0.500
N1 0.000 0.500 0.000